No. 1
VASP calculation (PBE-GGA) on an optimized crystal structure of BaInCo2.

total DFT energy (no corrections): -17.0 eV per formula unit
energy of formation from the pure elements: 0.465 eV/atom
ρ: 6.605 Mg/m³

```
BaInCo2
1.0
5.9144 -0.0245 -0.0145
2.4408 5.3873 0.0145
-3.4363 -3.8364 2.9078
Ba Co In
1 2 1
direct
0.2409 0.7409 0.5000 Ba
0.9291 0.9291 0.0000 Co
0.7863 0.2863 0.5000 Co
0.5437 0.5437 0.0000 In
```

=====

No. 2
VASP calculation (PBE-GGA) on an optimized crystal structure of CeTl2Hg7Au2.

total DFT energy (no corrections): -20.5 eV per formula unit
energy of formation from the pure elements: -0.094 eV/atom
ρ: 12.079 Mg/m³

```
CeTl2Hg7Au2
1.0
-0.5151 -0.0992 4.4747
4.4482 -0.5092 0.5027
3.7188 15.4844 3.0485
Ce Tl Hg Au
1 2 7 2
direct
0.0000 0.0000 0.0000 Ce
0.8326 0.8326 0.3331 Tl
0.1674 0.1674 0.6669 Tl
0.5000 0.5000 0.0000 Hg
0.2673 0.2673 0.4666 Hg
0.7327 0.7327 0.5334 Hg
0.9205 0.4210 0.1580 Hg
0.4210 0.9205 0.1580 Hg
0.5790 0.0795 0.8420 Hg
0.0795 0.5790 0.8420 Hg
0.6451 0.6451 0.7129 Au
0.3549 0.3549 0.2871 Au
```

=====

No. 3
VASP calculation (PBE-GGA) on an optimized crystal structure of Cr2IrSe.

total DFT energy (no corrections): -30.4 eV per formula unit
formation energy without anion corrections: 291 meV/atom
ρ: 11.565 Mg/m³

```
Cr2IrSe
1.0
-4.0723 2.1497 -1.8570
-1.6494 -1.8296 -4.3111
1.0062 -0.9831 4.7618
Cr Ir Se
2 1 1
direct
0.0246 0.0246 0.0000 Cr
0.4754 0.4754 0.0000 Cr
0.7500 0.2500 0.5000 Ir
0.2500 0.7500 0.5000 Se
```

=====

The highest total DFT energy (no corrections) belongs to which entry? BaInCo2

=====

Which value of ρ does entry 1 give? 6.605 Mg/m³